Material: NbAgF6
Method: DFT, PBE
State: relaxed

Properties
- Crystal system: monoclinic
- Magnetic moment: 0.008 μB per atom
- Uncorrected formation energy: -2560 meV per atom
- DFT total energy: -5.58 eV per atom

Unit cell a=5.1112 b=5.1112 c=5.3918 alpha=104.88 beta=104.88 gamma=81.70
Sites, in units of the cell vectors:
Nb 0.0000 0.0000 0.0000
Ag 0.5000 0.5000 0.5000
F 0.1426 0.7340 0.7275
F 0.2542 0.2542 0.0173
F 0.2660 0.8574 0.2725
F 0.7340 0.1426 0.7275
F 0.7458 0.7458 0.9827
F 0.8574 0.2660 0.2725

Material: KMnIr
Method: DFT, PBE
State: relaxed

Properties
- Energy above the lowest structure with this stoichiometry: 48 meV/atom
- Crystal system: tetragonal
- Magnetic moment: 1.378 μB per atom
- Energy relative to the elements: 0.480 eV per atom
- DFT total energy: -5.90 eV per atom

Unit cell a=6.7222 b=6.7222 c=6.7222 alpha=151.44 beta=151.44 gamma=40.83
Sites, in units of the cell vectors:
K 0.0000 0.0000 0.0000
Mn 0.7269 0.7269 0.0000
Ir 0.2938 0.2938 0.0000

Material: Pm6Ge5Sb
Method: DFT, PBE
State: relaxed

Properties
- Crystal system: monoclinic
- Magnetic moment: 0.000 μB per atom
- Uncorrected formation energy: -742 meV per atom
- DFT total energy: -5.38 eV per atom

Unit cell a=7.4420 b=7.4420 c=7.4244 alpha=99.60 beta=99.60 gamma=119.62
Sites, in units of the cell vectors:
Pm 0.0746 0.4148 0.7442
Pm 0.2432 0.2432 0.2507
Pm 0.4148 0.0746 0.7442
Pm 0.5852 0.9254 0.2558
Pm 0.7568 0.7568 0.7493
Pm 0.9254 0.5852 0.2558
Ge 0.0000 0.0000 0.5000
Ge 0.1671 0.8329 0.0000
Ge 0.3388 0.6612 0.5000
Ge 0.6612 0.3388 0.5000
Ge 0.8329 0.1671 0.0000
Sb 0.5000 0.5000 0.0000

no.,N(E_F) (states/eV/f.u.)
1,0.00
2,2.41
3,10.13